1.
VASP calculation (GGA-PBE) on crystalline Pa2GePdN5 at its relaxed geometry.

Cell and atoms, written as POSCAR:
```
Pa2GePdN5
1.0
1.7042 -7.0663 0.0000
1.7042 7.0663 0.0000
0.0000 0.0000 10.0926
Pa Ge Pd N
4 2 2 10
Direct
0.1324 0.8676 0.5000
0.1364 0.8636 0.0264
0.8636 0.1364 0.5264
0.8676 0.1324 0.0000
0.5003 0.4997 0.2701
0.4997 0.5003 0.7701
0.2481 0.7519 0.7519
0.7519 0.2481 0.2519
0.0446 0.9554 0.8366
0.2921 0.7079 0.4300
0.2959 0.7041 0.1139
0.3840 0.6160 0.8589
0.4780 0.5220 0.5875
0.5220 0.4780 0.0875
0.6160 0.3840 0.3589
0.7041 0.2959 0.6139
0.7079 0.2921 0.9300
0.9554 0.0446 0.3366
```

Properties
Formation energy without anion corrections   -0.71 eV/atom
Symmetry   No. 36



2.
VASP calculation (GGA-PBE) on crystalline Li4YSi2 at its relaxed geometry.

Cell and atoms, written as POSCAR:
```
Li4YSi2
1.0
3.9839 0.0000 0.0000
0.0000 3.9980 0.0000
-1.9780 0.0000 8.2097
Li Y Si
4 1 2
Direct
0.1724 0.0000 0.3479
0.3264 0.5000 0.6495
0.6736 0.5000 0.3505
0.8276 0.0000 0.6521
0.5000 0.0000 0.0000
0.0706 0.5000 0.1412
0.9294 0.5000 0.8588
```

Properties
Formation energy without anion corrections   -0.33 eV/atom
Symmetry   No. 10



3.
VASP calculation (GGA-PBE) on crystalline Ba2LiZn3 at its relaxed geometry.

Cell and atoms, written as POSCAR:
```
Ba2LiZn3
1.0
0.0000 4.8094 8.2938
4.5473 0.0000 8.2938
4.5473 4.8094 0.0000
Ba Li Zn
4 2 6
Direct
0.2429 0.7571 0.7571
0.2500 0.2500 0.2500
0.7500 0.7500 0.7500
0.7571 0.2429 0.2429
0.1684 0.1684 0.8316
0.8316 0.8316 0.1684
0.1756 0.6607 0.3393
0.3379 0.3379 0.6621
0.3393 0.8244 0.1756
0.6607 0.1756 0.8244
0.6621 0.6621 0.3379
0.8244 0.3393 0.6607
```

Properties
Symmetry   No. 69
DFT formation energy   -13 kJ per mole of atoms



4.
VASP calculation (GGA-PBE) on crystalline TiBSe4 at its relaxed geometry.

Cell and atoms, written as POSCAR:
```
TiBSe4
1.0
7.2311 -2.8036 0.0000
7.2311 2.8036 0.0000
-1.4116 0.0000 7.5791
Ti B Se
2 2 8
Direct
0.2327 0.2327 0.3001
0.7673 0.7673 0.6998
0.1292 0.1292 0.7670
0.8708 0.8708 0.2330
0.0063 0.0063 0.3502
0.1247 0.1247 0.0226
0.2463 0.2463 0.6581
0.3773 0.3773 0.2307
0.6227 0.6227 0.7693
0.7537 0.7537 0.3419
0.8753 0.8753 0.9774
0.9937 0.9937 0.6498
```

Properties
Formation energy without anion corrections   -0.26 eV/atom
Symmetry   No. 12



no.,theoretical density (g cm⁻³)
1,9.72
2,2.19
3,4.37
4,4.05